No. 1
Material: Y2As7Pd12
Method: DFT, PBE
State: relaxed

Cell lengths 10.1302, 10.1302, 4.0782 Å; angles 90.00, 90.00, 120.00 degrees
Last column: nearest neighbours and their distance in Å.
Element x y z (fractional)
1 Y 0.3333 0.6667 0.2483  6 As 3.14-3.16, 6 Pd 3.26-3.27
2 Y 0.6667 0.3333 0.7517  6 As 3.14-3.16, 6 Pd 3.26-3.27
3 As 0.0000 0.0000 0.5000  6 Pd 2.49
4 As 0.1192 0.4122 0.7452  7 Pd 2.47-2.72
5 As 0.2931 0.8808 0.7452  7 Pd 2.47-2.72
6 As 0.4122 0.2931 0.2548  7 Pd 2.47-2.72
7 As 0.5878 0.7069 0.7452  7 Pd 2.47-2.72
8 As 0.7069 0.1192 0.2548  7 Pd 2.47-2.72
9 As 0.8808 0.5878 0.2548  7 Pd 2.47-2.72
10 Pd 0.0619 0.6220 0.7472  4 As 2.47-2.67
11 Pd 0.1117 0.8576 0.2306  4 As 2.49-2.72
12 Pd 0.1424 0.2541 0.2306  4 As 2.49-2.72
13 Pd 0.2541 0.1117 0.7694  4 As 2.49-2.72
14 Pd 0.3780 0.4399 0.7472  4 As 2.47-2.67
15 Pd 0.4399 0.0619 0.2528  4 As 2.47-2.67
16 Pd 0.5601 0.9381 0.7472  4 As 2.47-2.67
17 Pd 0.6220 0.5601 0.2528  4 As 2.47-2.67
18 Pd 0.7459 0.8883 0.2306  4 As 2.49-2.72
19 Pd 0.8576 0.7459 0.7694  4 As 2.49-2.72
20 Pd 0.8883 0.1424 0.7694  4 As 2.49-2.72
21 Pd 0.9381 0.3780 0.2528  4 As 2.47-2.67

- SG: P-3 (147)
- Calculated formation energy: -1222 kJ/mol of formula units

No. 2
Material: YAs4Pd12
Method: DFT, PBE
State: relaxed

Cell lengths 7.4188, 7.4188, 7.4188 Å; angles 109.47, 109.47, 109.47 degrees
Last column: nearest neighbours and their distance in Å.
Element x y z (fractional)
1 Y 0.0000 0.0000 0.0000  12 Pd 3.23
2 As 0.0000 0.0000 0.5000  6 Pd 2.40
3 As 0.0000 0.5000 0.0000  6 Pd 2.40
4 As 0.5000 0.0000 0.0000  6 Pd 2.40
5 As 0.5000 0.5000 0.5000  6 Pd 2.40
6 Pd 0.1622 0.5025 0.3403  2 As 2.40
7 Pd 0.1622 0.8219 0.6597  2 As 2.40
8 Pd 0.1781 0.3403 0.8378  2 As 2.40
9 Pd 0.3403 0.1622 0.5025  2 As 2.40
10 Pd 0.3403 0.8378 0.1781  2 As 2.40
11 Pd 0.4975 0.6597 0.8378  2 As 2.40
12 Pd 0.5025 0.3403 0.1622  2 As 2.40
13 Pd 0.6597 0.1622 0.8219  2 As 2.40
14 Pd 0.6597 0.8378 0.4975  2 As 2.40
15 Pd 0.8219 0.6597 0.1622  2 As 2.40
16 Pd 0.8378 0.1781 0.3403  2 As 2.40
17 Pd 0.8378 0.4975 0.6597  2 As 2.40

- SG: Im-3 (204)
- Calculated formation energy: -446 kJ/mol of formula units

No. 3
Material: Y2AsPd2
Method: DFT, PBE
State: relaxed

Cell lengths 5.4538, 5.4538, 5.4538 Å; angles 119.60, 119.60, 90.69 degrees
Last column: nearest neighbours and their distance in Å.
Element x y z (fractional)
1 Y 0.2500 0.7500 0.5000  4 Pd 2.82
2 Y 0.7500 0.2500 0.5000  4 Pd 2.82
3 As 0.0000 0.0000 0.0000  2 Pd 2.58
4 Pd 0.3371 0.3371 0.0000  1 Pd 2.50, 1 As 2.58
5 Pd 0.6629 0.6629 0.0000  1 Pd 2.50, 1 As 2.58

- SG: I4/mmm (139)
- Calculated formation energy: -324 kJ/mol of formula units
- Energy above the lowest structure with this stoichiometry: 227 meV per atom

No. 4
Material: YAs2Pd5
Method: DFT, PBE
State: relaxed

Cell lengths 6.3341, 6.3341, 6.3341 Å; angles 142.44, 109.68, 82.57 degrees
Last column: nearest neighbours and their distance in Å.
Element x y z (fractional)
1 Y 0.0000 0.0000 0.0000  4 As 3.09, 8 Pd 3.33
2 As 0.2435 0.7435 0.5000  7 Pd 2.40-2.69
3 As 0.7565 0.2565 0.5000  7 Pd 2.40-2.69
4 Pd 0.1569 0.3518 0.8051  3 As 2.40-2.69
5 Pd 0.4534 0.6482 0.8051  3 As 2.40-2.69
6 Pd 0.5000 0.0000 0.5000  2 As 2.44
7 Pd 0.5466 0.3518 0.1949  3 As 2.40-2.69
8 Pd 0.8431 0.6482 0.1949  3 As 2.40-2.69

- SG: Immm (71)
- Calculated formation energy: -476 kJ/mol of formula units

No. 5
Material: YAsPd
Method: DFT, PBE
State: relaxed

Cell lengths 7.0318, 4.1345, 12.0559 Å; angles 90.00, 90.52, 90.00 degrees
Last column: nearest neighbours and their distance in Å.
Element x y z (fractional)
1 Y 0.0319 0.2500 0.1237  5 As 2.91-2.96, 4 Pd 3.12-3.23
2 Y 0.1683 0.2500 0.4220  5 As 2.92-2.97, 3 Pd 3.09-3.11
3 Y 0.4645 0.7500 0.7931  5 As 2.90-2.97, 5 Pd 3.11-3.21
4 Y 0.5355 0.2500 0.2069  5 As 2.90-2.97, 5 Pd 3.11-3.21
5 Y 0.8317 0.7500 0.5780  5 As 2.92-2.97, 3 Pd 3.09-3.11
6 Y 0.9681 0.7500 0.8763  5 As 2.91-2.96, 4 Pd 3.12-3.23
7 As 0.2420 0.7500 0.2504  3 Pd 2.62-2.65
8 As 0.2489 0.7500 0.5872  5 Pd 2.67-2.79, 4 Y 2.90-2.94
9 As 0.2518 0.2500 0.9186  4 Pd 2.65-2.80, 3 Y 2.91-2.93
10 As 0.7482 0.7500 0.0814  4 Pd 2.65-2.80, 3 Y 2.91-2.93
11 As 0.7511 0.2500 0.4128  5 Pd 2.67-2.79, 4 Y 2.90-2.94
12 As 0.7580 0.2500 0.7496  3 Pd 2.62-2.65
13 Pd 0.1264 0.2500 0.7066  4 As 2.65-2.70
14 Pd 0.3553 0.7500 0.0424  4 As 2.64-2.80
15 Pd 0.4985 0.7500 0.4089  4 As 2.62-2.79
16 Pd 0.5015 0.2500 0.5911  4 As 2.62-2.79
17 Pd 0.6447 0.2500 0.9576  4 As 2.64-2.80
18 Pd 0.8736 0.7500 0.2934  4 As 2.65-2.70

- SG: P2_1/m (11)
- Calculated formation energy: -346 kJ/mol of formula units

No. 6
Material: Y2AsPd2
Method: DFT, PBE
State: relaxed

Cell lengths 7.9098, 7.9098, 3.6327 Å; angles 90.00, 90.00, 90.00 degrees
Last column: nearest neighbours and their distance in Å.
Element x y z (fractional)
1 Y 0.1719 0.3281 0.0000  6 Pd 2.92-2.98, 2 As 2.93
2 Y 0.3281 0.8281 0.0000  6 Pd 2.92-2.98, 2 As 2.93
3 Y 0.6719 0.1719 0.0000  6 Pd 2.92-2.98, 2 As 2.93
4 Y 0.8281 0.6719 0.0000  6 Pd 2.92-2.98, 2 As 2.93
5 As 0.0000 0.0000 0.0000  4 Y 2.93
6 As 0.5000 0.5000 0.0000  4 Y 2.93
7 Pd 0.1232 0.6232 0.5000  1 Pd 2.76, 6 Y 2.92-2.98
8 Pd 0.3768 0.1232 0.5000  1 Pd 2.76, 6 Y 2.92-2.98
9 Pd 0.6232 0.8768 0.5000  1 Pd 2.76, 6 Y 2.92-2.98
10 Pd 0.8768 0.3768 0.5000  1 Pd 2.76, 6 Y 2.92-2.98

- SG: P4/mbm (127)
- Calculated formation energy: -343 kJ/mol of formula units
- Energy above the lowest structure with this stoichiometry: 187 meV per atom

No. 7
Material: YAsPd
Method: DFT, PBE
State: relaxed

Cell lengths 7.3116, 7.3116, 7.3116 Å; angles 153.87, 153.87, 37.29 degrees
Last column: nearest neighbours and their distance in Å.
Element x y z (fractional)
1 Y 0.0000 0.0000 0.0000  1 As 2.82, 4 Pd 2.85
2 As 0.7962 0.7962 0.0000  1 Pd 2.47
3 Pd 0.6177 0.6177 0.0000  1 As 2.47

- SG: I4mm (107)
- Calculated formation energy: -57 kJ/mol of formula units

No. 8
Material: Y2As2Pd
Method: DFT, PBE
State: relaxed

Cell lengths 7.4291, 7.4291, 3.9258 Å; angles 90.00, 90.00, 90.00 degrees
Last column: nearest neighbours and their distance in Å.
Element x y z (fractional)
1 Y 0.1571 0.3429 0.0000  6 As 2.78-3.04
2 Y 0.3429 0.8429 0.0000  6 As 2.78-3.04
3 Y 0.6571 0.1571 0.0000  6 As 2.78-3.04
4 Y 0.8429 0.6571 0.0000  6 As 2.78-3.04
5 As 0.1551 0.6551 0.5000  6 Y 2.78-3.04, 2 Pd 2.81
6 As 0.3449 0.1551 0.5000  6 Y 2.78-3.04, 2 Pd 2.81
7 As 0.6551 0.8449 0.5000  6 Y 2.78-3.04, 2 Pd 2.81
8 As 0.8449 0.3449 0.5000  6 Y 2.78-3.04, 2 Pd 2.81
9 Pd 0.0000 0.0000 0.5000  4 As 2.81
10 Pd 0.5000 0.5000 0.5000  4 As 2.81

- SG: P4/mbm (127)
- Calculated formation energy: -512 kJ/mol of formula units

No. 9
Material: Y3As6Pd20
Method: DFT, PBE
State: relaxed

Cell lengths 8.8845, 8.8845, 8.8845 Å; angles 60.00, 60.00, 60.00 degrees
Last column: nearest neighbours and their distance in Å.
Element x y z (fractional)
1 Y 0.0000 0.0000 0.0000  12 Pd 3.09, 6 As 3.33
2 Y 0.2500 0.2500 0.2500  4 Pd 2.88
3 Y 0.7500 0.7500 0.7500  4 Pd 2.88
4 As 0.2648 0.2648 0.7352  8 Pd 2.47-2.56
5 As 0.2648 0.7352 0.2648  8 Pd 2.47-2.56
6 As 0.2648 0.7352 0.7352  8 Pd 2.47-2.56
7 As 0.7352 0.2648 0.2648  8 Pd 2.47-2.56
8 As 0.7352 0.2648 0.7352  8 Pd 2.47-2.56
9 As 0.7352 0.7352 0.2648  8 Pd 2.47-2.56
10 Pd 0.0000 0.0000 0.3481  2 As 2.47, 1 Pd 2.70
11 Pd 0.0000 0.0000 0.6519  2 As 2.47, 1 Pd 2.70
12 Pd 0.0000 0.3481 0.0000  2 As 2.47, 1 Pd 2.70
13 Pd 0.0000 0.3481 0.6519  2 As 2.47, 1 Pd 2.70
14 Pd 0.0000 0.6519 0.0000  2 As 2.47, 1 Pd 2.70
15 Pd 0.0000 0.6519 0.3481  2 As 2.47, 1 Pd 2.70
16 Pd 0.1465 0.6178 0.6178  3 As 2.56
17 Pd 0.3481 0.0000 0.0000  2 As 2.47, 1 Pd 2.70
18 Pd 0.3481 0.0000 0.6519  2 As 2.47, 1 Pd 2.70
19 Pd 0.3481 0.6519 0.0000  2 As 2.47, 1 Pd 2.70
20 Pd 0.3822 0.3822 0.3822  3 As 2.56
21 Pd 0.3822 0.3822 0.8535  3 As 2.56
22 Pd 0.3822 0.8535 0.3822  3 As 2.56
23 Pd 0.6178 0.1465 0.6178  3 As 2.56
24 Pd 0.6178 0.6178 0.1465  3 As 2.56
25 Pd 0.6178 0.6178 0.6178  3 As 2.56
26 Pd 0.6519 0.0000 0.0000  2 As 2.47, 1 Pd 2.70
27 Pd 0.6519 0.0000 0.3481  2 As 2.47, 1 Pd 2.70
28 Pd 0.6519 0.3481 0.0000  2 As 2.47, 1 Pd 2.70
29 Pd 0.8535 0.3822 0.3822  3 As 2.56

- SG: Fm-3m (225)
- Calculated formation energy: -1683 kJ/mol of formula units

No. 10
Material: Y2As3Pd9
Method: DFT, PBE
State: relaxed

Cell lengths 7.8526, 7.8526, 10.0383 Å; angles 112.64, 112.64, 59.97 degrees
Last column: nearest neighbours and their distance in Å.
Element x y z (fractional)
1 Y 0.0863 0.2575 0.2493  11 Pd 2.95-3.30
2 Y 0.2575 0.0863 0.7493  11 Pd 2.95-3.30
3 Y 0.7425 0.9137 0.2507  11 Pd 2.95-3.30
4 Y 0.9137 0.7425 0.7507  11 Pd 2.95-3.30
5 As 0.0000 0.5000 0.0000  8 Pd 2.49-2.78
6 As 0.1502 0.6772 0.4996  5 Pd 2.46-2.75
7 As 0.3228 0.8498 0.0004  5 Pd 2.46-2.75
8 As 0.5000 0.0000 0.5000  8 Pd 2.49-2.78
9 As 0.6772 0.1502 0.9996  5 Pd 2.46-2.75
10 As 0.8498 0.3228 0.5004  5 Pd 2.46-2.75
11 Pd 0.0124 0.8751 0.0826  3 As 2.51-2.78
12 Pd 0.1249 0.9876 0.4174  3 As 2.51-2.78
13 Pd 0.1803 0.3618 0.5772  3 As 2.55-2.76, 2 Pd 2.81-2.83
14 Pd 0.2145 0.5768 0.2537  2 As 2.46-2.49
15 Pd 0.3050 0.4873 0.9516  3 As 2.57-2.82
16 Pd 0.3618 0.1803 0.0772  3 As 2.55-2.76, 2 Pd 2.81-2.83
17 Pd 0.3649 0.6351 0.7500  2 As 2.47
18 Pd 0.4232 0.7855 0.2463  2 As 2.46-2.49
19 Pd 0.4873 0.3050 0.4516  3 As 2.57-2.82
20 Pd 0.5127 0.6950 0.5484  3 As 2.57-2.82
21 Pd 0.5768 0.2145 0.7537  2 As 2.46-2.49
22 Pd 0.6351 0.3649 0.2500  2 As 2.47
23 Pd 0.6382 0.8197 0.9228  3 As 2.55-2.76, 2 Pd 2.81-2.83
24 Pd 0.6950 0.5127 0.0484  3 As 2.57-2.82
25 Pd 0.7855 0.4232 0.7463  2 As 2.46-2.49
26 Pd 0.8197 0.6382 0.4228  3 As 2.55-2.76, 2 Pd 2.81-2.83
27 Pd 0.8751 0.0124 0.5826  3 As 2.51-2.78
28 Pd 0.9876 0.1249 0.9174  3 As 2.51-2.78

- SG: C2/c (15)
- Calculated formation energy: -929 kJ/mol of formula units

No. 11
Material: YAsPd
Method: DFT, PBE
State: relaxed

Cell lengths 4.1414, 4.1414, 6.9871 Å; angles 90.00, 90.00, 90.00 degrees
Last column: nearest neighbours and their distance in Å.
Element x y z (fractional)
1 Y 0.2500 0.2500 0.1833  5 As 2.93-2.95, 4 Pd 3.03
2 Y 0.7500 0.7500 0.8167  5 As 2.93-2.95, 4 Pd 3.03
3 As 0.2500 0.2500 0.7641  4 Pd 2.77, 5 Y 2.93-2.95
4 As 0.7500 0.7500 0.2359  4 Pd 2.77, 5 Y 2.93-2.95
5 Pd 0.2500 0.7500 0.5000  4 As 2.77, 4 Pd 2.93, 4 Y 3.03
6 Pd 0.7500 0.2500 0.5000  4 As 2.77, 4 Pd 2.93, 4 Y 3.03

- SG: P4/nmm (129)
- Calculated formation energy: -327 kJ/mol of formula units

No. 12
Material: YAs2Pd3
Method: DFT, PBE
State: relaxed

Cell lengths 8.6164, 8.6164, 10.0551 Å; angles 107.14, 107.14, 27.35 degrees
Last column: nearest neighbours and their distance in Å.
Element x y z (fractional)
1 Y 0.0000 0.0000 0.0000  6 Pd 3.09-3.17, 6 As 3.16-3.19
2 Y 0.1512 0.1512 0.6965  6 As 3.08-3.29, 7 Pd 3.16-3.38
3 Y 0.8488 0.8488 0.3035  6 As 3.08-3.29, 7 Pd 3.16-3.38
4 As 0.1987 0.1987 0.1316  6 Pd 2.49-2.62
5 As 0.3634 0.3634 0.5460  7 Pd 2.42-2.69
6 As 0.4592 0.4592 0.2114  4 Pd 2.47-2.73
7 As 0.5408 0.5408 0.7886  4 Pd 2.47-2.73
8 As 0.6366 0.6366 0.4540  7 Pd 2.42-2.69
9 As 0.8013 0.8013 0.8684  6 Pd 2.49-2.62
10 Pd 0.0417 0.0417 0.3298  4 As 2.55-2.65
11 Pd 0.2220 0.2220 0.3877  4 As 2.42-2.69
12 Pd 0.3193 0.3193 0.0353  4 As 2.47-2.60
13 Pd 0.3811 0.3811 0.8059  4 As 2.54-2.73, 1 Pd 2.80
14 Pd 0.5000 0.5000 0.5000  2 As 2.47
15 Pd 0.6189 0.6189 0.1941  4 As 2.54-2.73, 1 Pd 2.80
16 Pd 0.6807 0.6807 0.9647  4 As 2.47-2.60
17 Pd 0.7780 0.7780 0.6123  4 As 2.42-2.69
18 Pd 0.9583 0.9583 0.6702  4 As 2.55-2.65

- SG: C2/m (12)
- Calculated formation energy: -454 kJ/mol of formula units